# SrZnSi | the Alexandria database | PBE-GGA | optimized geometry
data_SrZnSi
_space_group_name_H-M_alt 'P 63/m m c'
_space_group_IT_number 194
_space_group_name_Hall '-P 6c 2c'
_cell_length_a 4.3066
_cell_length_b 4.3066
_cell_length_c 9.0285
_cell_angle_alpha 90.00
_cell_angle_beta 90.00
_cell_angle_gamma 120.00
loop_
_atom_site_label
_atom_site_fract_x
_atom_site_fract_y
_atom_site_fract_z
Sr1 0.0000 0.0000 0.0000
Zn1 0.3333 0.6667 0.2500
Si1 0.3333 0.6667 0.7500
# Magnetization = 0.000 μB per formula unit
# Uncorrected energy = -0.1186 hartree per atom
# N(E_F) = 1.246 states/eV per cell
# Crystal system = hexagonal
# E_form (uncorrected) = -0.435 eV per atom

---

# Sr4Zn2Si5 | the Alexandria database | PBE-GGA | optimized geometry
data_Sr4Zn2Si5
_space_group_name_H-M_alt 'P 1 2/m 1'
_space_group_IT_number 10
_cell_length_a 7.247
_cell_length_b 4.695
_cell_length_c 8.133
_cell_angle_alpha 90.00
_cell_angle_beta 95.01
_cell_angle_gamma 90.00
loop_
_space_group_symop_operation_xyz
'x,y,z'
'-x,-y,-z'
'-x,y,-z'
'x,-y,z'
loop_
_atom_site_label
_atom_site_fract_x
_atom_site_fract_y
_atom_site_fract_z
Sr1 0.223 0.000 0.349
Sr2 0.265 0.000 0.867
Zn1 0.424 0.500 0.628
Si1 0.000 0.500 0.000
Si2 0.089 0.500 0.630
Si3 0.395 0.500 0.105
# Magnetization = 0.000 μB per formula unit
# Uncorrected energy = -0.1317 hartree per atom
# N(E_F) = 5.010 states/eV per cell
# Crystal system = monoclinic
# E_form (uncorrected) = -0.276 eV per atom

---

# Sr2Zn5Si3 | the Alexandria database | PBE-GGA | optimized geometry
data_Sr2Zn5Si3
_space_group_name_H-M_alt 'P -4 m 2'
_space_group_IT_number 115
_cell_length_a 4.311
_cell_length_b 4.311
_cell_length_c 10.735
_cell_angle_alpha 90.00
_cell_angle_beta 90.00
_cell_angle_gamma 90.00
loop_
_space_group_symop_operation_xyz
'x,y,z'
'y,-x,-z'
'-x,-y,z'
'-y,x,-z'
'-x,y,z'
'-y,-x,-z'
'x,-y,z'
'y,x,-z'
loop_
_atom_site_label
_atom_site_fract_x
_atom_site_fract_y
_atom_site_fract_z
Sr1 0.000 0.500 0.244
Zn1 0.000 0.000 0.500
Zn2 0.000 0.500 0.637
Zn3 0.500 0.500 0.000
Zn4 0.500 0.500 0.500
Si1 0.000 0.000 0.000
Si2 0.000 0.500 0.874
# Magnetization = 0.000 μB per formula unit
# Uncorrected energy = -0.1037 hartree per atom
# N(E_F) = 3.175 states/eV per cell
# Crystal system = tetragonal
# Energy above the lowest structure with this stoichiometry = 0.089 eV/atom
# E_form (uncorrected) = -0.223 eV per atom

---

# Sr3Zn3Si | the Alexandria database | PBE-GGA | optimized geometry
data_Sr3Zn3Si
_space_group_name_H-M_alt 'C 1 2/m 1'
_space_group_IT_number 12
_cell_length_a 11.666
_cell_length_b 4.429
_cell_length_c 15.853
_cell_angle_alpha 90.00
_cell_angle_beta 109.19
_cell_angle_gamma 90.00
loop_
_space_group_symop_operation_xyz
'x,y,z'
'-x,-y,-z'
'-x,y,-z'
'x,-y,z'
'x+1/2,y+1/2,z'
'-x+1/2,-y+1/2,-z'
'-x+1/2,y+1/2,-z'
'x+1/2,-y+1/2,z'
loop_
_atom_site_label
_atom_site_fract_x
_atom_site_fract_y
_atom_site_fract_z
Sr1 0.031 0.000 0.393
Sr2 0.105 0.000 0.919
Sr3 0.245 0.500 0.759
Zn1 0.052 0.500 0.239
Zn2 0.097 0.500 0.079
Zn3 0.168 0.500 0.538
Si1 0.237 0.500 0.389
# Magnetization = 0.000 μB per formula unit
# Uncorrected energy = -0.0848 hartree per atom
# N(E_F) = 20.005 states/eV per cell
# Crystal system = monoclinic
# E_form (uncorrected) = -0.265 eV per atom

---

# SrZnSi | the Alexandria database | PBE-GGA | optimized geometry
data_SrZnSi
_space_group_name_H-M_alt 'I -4 m 2'
_space_group_IT_number 119
_space_group_name_Hall 'I -4 -2'
_cell_length_a 4.384
_cell_length_b 4.384
_cell_length_c 14.948
_cell_angle_alpha 90.00
_cell_angle_beta 90.00
_cell_angle_gamma 90.00
loop_
_atom_site_label
_atom_site_fract_x
_atom_site_fract_y
_atom_site_fract_z
Sr1 0.000 0.000 0.000
Sr2 0.000 0.500 0.250
Zn1 0.000 0.500 0.664
Si1 0.000 0.000 0.419
# Magnetization = 0.000 μB per formula unit
# Uncorrected energy = -0.1161 hartree per atom
# N(E_F) = 5.379 states/eV per cell
# Crystal system = tetragonal
# E_form (uncorrected) = -0.367 eV per atom

---

# Sr2ZnSi | the Alexandria database | PBE-GGA | optimized geometry
data_Sr2ZnSi
_space_group_name_H-M_alt 'P m m 2'
_space_group_IT_number 25
_cell_length_a 3.954
_cell_length_b 5.209
_cell_length_c 6.435
_cell_angle_alpha 90.00
_cell_angle_beta 90.00
_cell_angle_gamma 90.00
loop_
_space_group_symop_operation_xyz
'x,y,z'
'-x,-y,z'
'-x,y,z'
'x,-y,z'
loop_
_atom_site_label
_atom_site_fract_x
_atom_site_fract_y
_atom_site_fract_z
Sr1 0.000 0.000 0.000
Sr2 0.500 0.500 0.499
Zn1 0.500 0.500 0.998
Si1 0.000 0.000 0.500
# Magnetization = 0.000 μB per formula unit
# Uncorrected energy = -0.0921 hartree per atom
# N(E_F) = 2.904 states/eV per cell
# Crystal system = orthorhombic
# Energy above the lowest structure with this stoichiometry = 0.342 eV/atom
# E_form (uncorrected) = 0.009 eV per atom

---

# SrZn3Si3 | the Alexandria database | PBE-GGA | optimized geometry
data_SrZn3Si3
_space_group_name_H-M_alt 'P m -3 n'
_space_group_IT_number 223
_space_group_name_Hall '-P 4n 2 3'
_cell_length_a 6.800
_cell_length_b 6.800
_cell_length_c 6.800
_cell_angle_alpha 90.00
_cell_angle_beta 90.00
_cell_angle_gamma 90.00
loop_
_atom_site_label
_atom_site_fract_x
_atom_site_fract_y
_atom_site_fract_z
Sr1 0.000 0.000 0.000
Zn1 0.000 0.250 0.500
Si1 0.000 0.500 0.250
# Magnetization = 0.000 μB per formula unit
# Uncorrected energy = -0.1102 hartree per atom
# N(E_F) = 10.609 states/eV per cell
# Crystal system = cubic
# E_form (uncorrected) = 0.112 eV per atom

---

# SrZn4Si3 | the Alexandria database | PBE-GGA | optimized geometry
data_SrZn4Si3
_space_group_name_H-M_alt 'P 4/m m m'
_space_group_IT_number 123
_space_group_name_Hall '-P 4 2'
_cell_length_a 4.390
_cell_length_b 4.390
_cell_length_c 7.724
_cell_angle_alpha 90.00
_cell_angle_beta 90.00
_cell_angle_gamma 90.00
loop_
_atom_site_label
_atom_site_fract_x
_atom_site_fract_y
_atom_site_fract_z
Sr1 0.000 0.000 0.000
Zn1 0.000 0.500 0.323
Si1 0.000 0.000 0.500
Si2 0.500 0.500 0.154
# Magnetization = 0.000 μB per formula unit
# Uncorrected energy = -0.1118 hartree per atom
# N(E_F) = 2.542 states/eV per cell
# Crystal system = tetragonal
# E_form (uncorrected) = -0.162 eV per atom

---

# Sr3Zn2Si2 | the Alexandria database | PBE-GGA | optimized geometry
data_Sr3Zn2Si2
_space_group_name_H-M_alt 'C 1 2/m 1'
_space_group_IT_number 12
_cell_length_a 11.550
_cell_length_b 4.766
_cell_length_c 7.388
_cell_angle_alpha 90.00
_cell_angle_beta 111.30
_cell_angle_gamma 90.00
loop_
_space_group_symop_operation_xyz
'x,y,z'
'-x,-y,-z'
'-x,y,-z'
'x,-y,z'
'x+1/2,y+1/2,z'
'-x+1/2,-y+1/2,-z'
'-x+1/2,y+1/2,-z'
'x+1/2,-y+1/2,z'
loop_
_atom_site_label
_atom_site_fract_x
_atom_site_fract_y
_atom_site_fract_z
Sr1 0.000 0.000 0.000
Sr2 0.173 0.000 0.619
Zn1 0.193 0.500 0.921
Si1 0.021 0.500 0.345
# Magnetization = 0.000 μB per formula unit
# Uncorrected energy = -0.1088 hartree per atom
# N(E_F) = 6.883 states/eV per cell
# Crystal system = monoclinic
# E_form (uncorrected) = -0.327 eV per atom

---

# Sr2ZnSi | the Alexandria database | PBE-GGA | optimized geometry
data_Sr2ZnSi
_space_group_name_H-M_alt 'C 1 2/m 1'
_space_group_IT_number 12
_cell_length_a 8.982
_cell_length_b 3.967
_cell_length_c 7.738
_cell_angle_alpha 90.00
_cell_angle_beta 102.54
_cell_angle_gamma 90.00
loop_
_space_group_symop_operation_xyz
'x,y,z'
'-x,-y,-z'
'-x,y,-z'
'x,-y,z'
'x+1/2,y+1/2,z'
'-x+1/2,-y+1/2,-z'
'-x+1/2,y+1/2,-z'
'x+1/2,-y+1/2,z'
loop_
_atom_site_label
_atom_site_fract_x
_atom_site_fract_y
_atom_site_fract_z
Sr1 0.241 0.000 0.224
Zn1 0.000 0.000 0.500
Si1 0.000 0.500 0.000
# Magnetization = 0.000 μB per formula unit
# Uncorrected energy = -0.0937 hartree per atom
# N(E_F) = 3.825 states/eV per cell
# Crystal system = monoclinic
# Energy above the lowest structure with this stoichiometry = 0.298 eV/atom
# E_form (uncorrected) = -0.036 eV per atom

---

# SrZnSi | the Alexandria database | PBE-GGA | optimized geometry
data_SrZnSi
_space_group_name_H-M_alt 'F -4 3 m'
_space_group_IT_number 216
_space_group_name_Hall 'F -4 2 3'
_cell_length_a 7.119
_cell_length_b 7.119
_cell_length_c 7.119
_cell_angle_alpha 90.00
_cell_angle_beta 90.00
_cell_angle_gamma 90.00
loop_
_atom_site_label
_atom_site_fract_x
_atom_site_fract_y
_atom_site_fract_z
Sr1 0.000 0.000 0.000
Zn1 0.250 0.250 0.750
Si1 0.250 0.250 0.250
# Magnetization = 0.002 μB per formula unit
# Uncorrected energy = -0.0850 hartree per atom
# N(E_F) = 16.810 states/eV per cell
# Crystal system = cubic
# E_form (uncorrected) = 0.479 eV per atom

---

# Sr2ZnSi | the Alexandria database | PBE-GGA | optimized geometry
data_Sr2ZnSi
_space_group_name_H-M_alt 'I m m 2'
_space_group_IT_number 44
_cell_length_a 3.936
_cell_length_b 5.054
_cell_length_c 11.327
_cell_angle_alpha 90.00
_cell_angle_beta 90.00
_cell_angle_gamma 90.00
loop_
_space_group_symop_operation_xyz
'x,y,z'
'-x,-y,z'
'-x,y,z'
'x,-y,z'
'x+1/2,y+1/2,z+1/2'
'-x+1/2,-y+1/2,z+1/2'
'-x+1/2,y+1/2,z+1/2'
'x+1/2,-y+1/2,z+1/2'
loop_
_atom_site_label
_atom_site_fract_x
_atom_site_fract_y
_atom_site_fract_z
Sr1 0.000 0.000 0.000
Sr2 0.000 0.500 0.210
Zn1 0.000 0.500 0.794
Si1 0.000 0.000 0.434
# Magnetization = 0.000 μB per formula unit
# Uncorrected energy = -0.0996 hartree per atom
# N(E_F) = 4.262 states/eV per cell
# Crystal system = orthorhombic
# Energy above the lowest structure with this stoichiometry = 0.137 eV/atom
# E_form (uncorrected) = -0.196 eV per atom